# 1
# As2IrAu, relaxed, DFT PBE
# E above lowest polymorph, eV/f.u.: 0.90
# VASP energy, eV for the cell shown: -20.75
# Symmetry: Pm, No. 6
data_As2IrAu
_chemical_formula_sum 'As2 Ir1 Au1'
_cell_length_a 2.961
_cell_length_b 3.964
_cell_length_c 6.871
_cell_angle_alpha 90.00
_cell_angle_beta 93.30
_cell_angle_gamma 90.00
_symmetry_space_group_name_H-M 'P 1'
_symmetry_Int_Tables_number 1
loop_
_symmetry_equiv_pos_as_xyz
'x,y,z'
loop_
_atom_site_label
_atom_site_type_symbol
_atom_site_fract_x
_atom_site_fract_y
_atom_site_fract_z
_atom_site_occupancy
As1 As 0.000 0.000 0.000 1
As2 As 0.072 0.500 0.582 1
Ir1 Ir 0.026 0.500 0.207 1
Au1 Au 0.554 0.000 0.423 1

=====

# 2
# CeHoScAl, relaxed, DFT PBE
# VASP energy, eV for the cell shown: -20.93
# Symmetry: F-43m, No. 216
data_CeHoScAl
_chemical_formula_sum 'Ce1 Ho1 Sc1 Al1'
_cell_length_a 5.219
_cell_length_b 5.219
_cell_length_c 5.219
_cell_angle_alpha 60.00
_cell_angle_beta 60.00
_cell_angle_gamma 60.00
_symmetry_space_group_name_H-M 'P 1'
_symmetry_Int_Tables_number 1
loop_
_symmetry_equiv_pos_as_xyz
'x,y,z'
loop_
_atom_site_label
_atom_site_type_symbol
_atom_site_fract_x
_atom_site_fract_y
_atom_site_fract_z
_atom_site_occupancy
Ce1 Ce 0.000 0.000 0.000 1
Ho1 Ho 0.500 0.500 0.500 1
Sc1 Sc 0.250 0.250 0.250 1
Al1 Al 0.750 0.750 0.750 1

=====

# 3
# La4Cd2Co, relaxed, DFT PBE
# E above lowest polymorph, eV/f.u.: 0.24
# VASP energy, eV for the cell shown: -58.82
# Symmetry: Cmcm, No. 63
data_La4Cd2Co
_chemical_formula_sum 'La8 Cd4 Co2'
_cell_length_a 5.881
_cell_length_b 5.881
_cell_length_c 19.439
_cell_angle_alpha 90.00
_cell_angle_beta 90.00
_cell_angle_gamma 141.29
_symmetry_space_group_name_H-M 'P 1'
_symmetry_Int_Tables_number 1
loop_
_symmetry_equiv_pos_as_xyz
'x,y,z'
loop_
_atom_site_label
_atom_site_type_symbol
_atom_site_fract_x
_atom_site_fract_y
_atom_site_fract_z
_atom_site_occupancy
La1 La 0.000 0.000 0.000 1
La2 La 0.000 0.000 0.500 1
La3 La 0.317 0.683 0.750 1
La4 La 0.420 0.580 0.153 1
La5 La 0.420 0.580 0.347 1
La6 La 0.580 0.420 0.653 1
La7 La 0.580 0.420 0.847 1
La8 La 0.683 0.317 0.250 1
Cd1 Cd 0.287 0.713 0.567 1
Cd2 Cd 0.287 0.713 0.933 1
Cd3 Cd 0.713 0.287 0.067 1
Cd4 Cd 0.713 0.287 0.433 1
Co1 Co 0.040 0.960 0.750 1
Co2 Co 0.960 0.040 0.250 1

=====

# 4
# Na2NdGaGe2, relaxed, DFT PBE
# VASP energy, eV for the cell shown: -44.11
# Symmetry: Pmc2_1, No. 26
data_Na2NdGaGe2
_chemical_formula_sum 'Na4 Nd2 Ga2 Ge4'
_cell_length_a 4.326
_cell_length_b 8.833
_cell_length_c 7.490
_cell_angle_alpha 90.00
_cell_angle_beta 90.00
_cell_angle_gamma 90.00
_symmetry_space_group_name_H-M 'P 1'
_symmetry_Int_Tables_number 1
loop_
_symmetry_equiv_pos_as_xyz
'x,y,z'
loop_
_atom_site_label
_atom_site_type_symbol
_atom_site_fract_x
_atom_site_fract_y
_atom_site_fract_z
_atom_site_occupancy
Na1 Na 0.000 0.081 0.000 1
Na2 Na 0.000 0.919 0.500 1
Na3 Na 0.500 0.158 0.322 1
Na4 Na 0.500 0.842 0.822 1
Nd1 Nd 0.500 0.443 0.966 1
Nd2 Nd 0.500 0.557 0.466 1
Ga1 Ga 0.000 0.323 0.626 1
Ga2 Ga 0.000 0.677 0.126 1
Ge1 Ge 0.000 0.385 0.252 1
Ge2 Ge 0.000 0.615 0.752 1
Ge3 Ge 0.500 0.175 0.713 1
Ge4 Ge 0.500 0.825 0.213 1

=====

# 5
# PmSiS3, relaxed, DFT PBE
# E above lowest polymorph, eV/f.u.: 0.91
# VASP energy, eV for the cell shown: -113.35
# Uncorrected formation energy, kcal/mol of atoms: -26.7
# Symmetry: Pna2_1, No. 33
data_PmSiS3
_chemical_formula_sum 'Pm4 Si4 S12'
_cell_length_a 7.674
_cell_length_b 6.328
_cell_length_c 8.757
_cell_angle_alpha 90.00
_cell_angle_beta 90.00
_cell_angle_gamma 90.00
_symmetry_space_group_name_H-M 'P 1'
_symmetry_Int_Tables_number 1
loop_
_symmetry_equiv_pos_as_xyz
'x,y,z'
loop_
_atom_site_label
_atom_site_type_symbol
_atom_site_fract_x
_atom_site_fract_y
_atom_site_fract_z
_atom_site_occupancy
Pm1 Pm 0.111 0.033 0.000 1
Pm2 Pm 0.389 0.533 0.500 1
Pm3 Pm 0.611 0.467 0.000 1
Pm4 Pm 0.889 0.967 0.500 1
Si1 Si 0.069 0.526 0.228 1
Si2 Si 0.431 0.026 0.728 1
Si3 Si 0.569 0.974 0.228 1
Si4 Si 0.931 0.474 0.728 1
S1 S 0.027 0.403 0.485 1
S2 S 0.170 0.833 0.299 1
S3 S 0.191 0.843 0.693 1
S4 S 0.309 0.343 0.193 1
S5 S 0.330 0.333 0.799 1
S6 S 0.473 0.903 0.985 1
S7 S 0.527 0.097 0.485 1
S8 S 0.670 0.667 0.299 1
S9 S 0.691 0.657 0.693 1
S10 S 0.809 0.157 0.193 1
S11 S 0.830 0.167 0.799 1
S12 S 0.973 0.597 0.985 1

=====

# 6
# Ho2VN4, relaxed, DFT PBE
# VASP energy, eV for the cell shown: -118.14
# Uncorrected formation energy, kcal/mol of atoms: -24.7
# Symmetry: P2_1/m, No. 11
data_Ho2VN4
_chemical_formula_sum 'Ho4 V2 N8'
_cell_length_a 5.633
_cell_length_b 5.646
_cell_length_c 6.531
_cell_angle_alpha 90.00
_cell_angle_beta 107.81
_cell_angle_gamma 90.00
_symmetry_space_group_name_H-M 'P 1'
_symmetry_Int_Tables_number 1
loop_
_symmetry_equiv_pos_as_xyz
'x,y,z'
loop_
_atom_site_label
_atom_site_type_symbol
_atom_site_fract_x
_atom_site_fract_y
_atom_site_fract_z
_atom_site_occupancy
Ho1 Ho 0.180 0.250 0.034 1
Ho2 Ho 0.254 0.250 0.558 1
Ho3 Ho 0.746 0.750 0.442 1
Ho4 Ho 0.820 0.750 0.966 1
V1 V 0.268 0.750 0.806 1
V2 V 0.732 0.250 0.194 1
N1 N 0.044 0.510 0.749 1
N2 N 0.044 0.990 0.749 1
N3 N 0.457 0.750 0.085 1
N4 N 0.479 0.750 0.649 1
N5 N 0.521 0.250 0.351 1
N6 N 0.543 0.250 0.915 1
N7 N 0.956 0.010 0.251 1
N8 N 0.956 0.490 0.251 1

=====

# 7
# FeCoCl2, relaxed, DFT PBE
# VASP energy, eV for the cell shown: -37.68
# Uncorrected formation energy, kcal/mol of atoms: 2.4
# Symmetry: I-42d, No. 122
data_FeCoCl2
_chemical_formula_sum 'Fe2 Co2 Cl4'
_cell_length_a 6.434
_cell_length_b 6.434
_cell_length_c 6.434
_cell_angle_alpha 131.16
_cell_angle_beta 131.16
_cell_angle_gamma 71.56
_symmetry_space_group_name_H-M 'P 1'
_symmetry_Int_Tables_number 1
loop_
_symmetry_equiv_pos_as_xyz
'x,y,z'
loop_
_atom_site_label
_atom_site_type_symbol
_atom_site_fract_x
_atom_site_fract_y
_atom_site_fract_z
_atom_site_occupancy
Fe1 Fe 0.000 0.000 0.000 1
Fe2 Fe 0.750 0.250 0.500 1
Co1 Co 0.250 0.750 0.500 1
Co2 Co 0.500 0.500 0.000 1
Cl1 Cl 0.132 0.625 0.007 1
Cl2 Cl 0.375 0.382 0.507 1
Cl3 Cl 0.618 0.125 0.993 1
Cl4 Cl 0.875 0.868 0.493 1

=====

# 8
# ZrTaCr2, relaxed, DFT PBE
# E above lowest polymorph, eV/f.u.: 0.73
# VASP energy, eV for the cell shown: -38.36
# Symmetry: Immm, No. 71
data_ZrTaCr2
_chemical_formula_sum 'Zr1 Ta1 Cr2'
_cell_length_a 5.071
_cell_length_b 5.071
_cell_length_c 5.071
_cell_angle_alpha 142.88
_cell_angle_beta 124.21
_cell_angle_gamma 68.92
_symmetry_space_group_name_H-M 'P 1'
_symmetry_Int_Tables_number 1
loop_
_symmetry_equiv_pos_as_xyz
'x,y,z'
loop_
_atom_site_label
_atom_site_type_symbol
_atom_site_fract_x
_atom_site_fract_y
_atom_site_fract_z
_atom_site_occupancy
Zr1 Zr 0.000 0.000 0.000 1
Ta1 Ta 0.500 0.500 0.000 1
Cr1 Cr 0.256 0.756 0.500 1
Cr2 Cr 0.744 0.244 0.500 1

=====

# 9
# LaTm3Bi3, relaxed, DFT PBE
# VASP energy, eV for the cell shown: -68.44
# Symmetry: R-3, No. 148
data_LaTm3Bi3
_chemical_formula_sum 'La2 Tm6 Bi6'
_cell_length_a 8.215
_cell_length_b 8.215
_cell_length_c 8.215
_cell_angle_alpha 68.54
_cell_angle_beta 68.54
_cell_angle_gamma 68.54
_symmetry_space_group_name_H-M 'P 1'
_symmetry_Int_Tables_number 1
loop_
_symmetry_equiv_pos_as_xyz
'x,y,z'
loop_
_atom_site_label
_atom_site_type_symbol
_atom_site_fract_x
_atom_site_fract_y
_atom_site_fract_z
_atom_site_occupancy
La1 La 0.166 0.166 0.166 1
La2 La 0.834 0.834 0.834 1
Tm1 Tm 0.163 0.676 0.419 1
Tm2 Tm 0.324 0.581 0.837 1
Tm3 Tm 0.419 0.163 0.676 1
Tm4 Tm 0.581 0.837 0.324 1
Tm5 Tm 0.676 0.419 0.163 1
Tm6 Tm 0.837 0.324 0.581 1
Bi1 Bi 0.031 0.415 0.794 1
Bi2 Bi 0.206 0.969 0.585 1
Bi3 Bi 0.415 0.794 0.031 1
Bi4 Bi 0.585 0.206 0.969 1
Bi5 Bi 0.794 0.031 0.415 1
Bi6 Bi 0.969 0.585 0.206 1

=====

# 10
# MgPaTl2, relaxed, DFT PBE
# E above lowest polymorph, eV/f.u.: 1.15
# VASP energy, eV for the cell shown: -14.22
# Symmetry: R3m, No. 160
data_MgPaTl2
_chemical_formula_sum 'Mg1 Pa1 Tl2'
_cell_length_a 6.353
_cell_length_b 6.353
_cell_length_c 6.353
_cell_angle_alpha 44.05
_cell_angle_beta 44.05
_cell_angle_gamma 44.05
_symmetry_space_group_name_H-M 'P 1'
_symmetry_Int_Tables_number 1
loop_
_symmetry_equiv_pos_as_xyz
'x,y,z'
loop_
_atom_site_label
_atom_site_type_symbol
_atom_site_fract_x
_atom_site_fract_y
_atom_site_fract_z
_atom_site_occupancy
Mg1 Mg 0.000 0.000 0.000 1
Pa1 Pa 0.800 0.800 0.800 1
Tl1 Tl 0.372 0.372 0.372 1
Tl2 Tl 0.580 0.580 0.580 1

=====

# 11
# SiPbBr3, relaxed, DFT PBE
# E above lowest polymorph, eV/f.u.: 0.00
# VASP energy, eV for the cell shown: -14.89
# Uncorrected formation energy, kcal/mol of atoms: -3.4
# Symmetry: Pm-3m, No. 221
data_SiPbBr3
_chemical_formula_sum 'Si1 Pb1 Br3'
_cell_length_a 5.313
_cell_length_b 5.313
_cell_length_c 5.313
_cell_angle_alpha 90.00
_cell_angle_beta 90.00
_cell_angle_gamma 90.00
_symmetry_space_group_name_H-M 'P 1'
_symmetry_Int_Tables_number 1
loop_
_symmetry_equiv_pos_as_xyz
'x,y,z'
loop_
_atom_site_label
_atom_site_type_symbol
_atom_site_fract_x
_atom_site_fract_y
_atom_site_fract_z
_atom_site_occupancy
Si1 Si 0.000 0.000 0.000 1
Pb1 Pb 0.500 0.500 0.500 1
Br1 Br 0.000 0.000 0.500 1
Br2 Br 0.000 0.500 0.000 1
Br3 Br 0.500 0.000 0.000 1

=====

# 12
# AlFe2Mo, relaxed, DFT PBE
# VASP energy, eV for the cell shown: -31.53
# Symmetry: P4/mmm, No. 123
data_AlFe2Mo
_chemical_formula_sum 'Al1 Fe2 Mo1'
_cell_length_a 3.693
_cell_length_b 3.693
_cell_length_c 3.926
_cell_angle_alpha 90.00
_cell_angle_beta 90.00
_cell_angle_gamma 90.00
_symmetry_space_group_name_H-M 'P 1'
_symmetry_Int_Tables_number 1
loop_
_symmetry_equiv_pos_as_xyz
'x,y,z'
loop_
_atom_site_label
_atom_site_type_symbol
_atom_site_fract_x
_atom_site_fract_y
_atom_site_fract_z
_atom_site_occupancy
Al1 Al 0.000 0.000 0.000 1
Fe1 Fe 0.000 0.500 0.500 1
Fe2 Fe 0.500 0.000 0.500 1
Mo1 Mo 0.500 0.500 0.000 1

=====

# 13
# Mg2PbCl, relaxed, DFT PBE
# E above lowest polymorph, eV/f.u.: 0.79
# VASP energy, eV for the cell shown: -10.19
# Uncorrected formation energy, kcal/mol of atoms: -8.3
# Symmetry: Immm, No. 71
data_Mg2PbCl
_chemical_formula_sum 'Mg2 Pb1 Cl1'
_cell_length_a 5.609
_cell_length_b 5.609
_cell_length_c 5.609
_cell_angle_alpha 140.99
_cell_angle_beta 110.84
_cell_angle_gamma 82.37
_symmetry_space_group_name_H-M 'P 1'
_symmetry_Int_Tables_number 1
loop_
_symmetry_equiv_pos_as_xyz
'x,y,z'
loop_
_atom_site_label
_atom_site_type_symbol
_atom_site_fract_x
_atom_site_fract_y
_atom_site_fract_z
_atom_site_occupancy
Mg1 Mg 0.217 0.217 0.000 1
Mg2 Mg 0.783 0.783 0.000 1
Pb1 Pb 0.500 0.000 0.500 1
Cl1 Cl 0.000 0.500 0.500 1

=====

# 14
# UInGe2, relaxed, DFT PBE
# E above lowest polymorph, eV/f.u.: 1.00
# VASP energy, eV for the cell shown: -23.04
# Symmetry: P4/mmm, No. 123
data_UInGe2
_chemical_formula_sum 'U1 In1 Ge2'
_cell_length_a 3.838
_cell_length_b 3.838
_cell_length_c 6.300
_cell_angle_alpha 90.00
_cell_angle_beta 90.00
_cell_angle_gamma 90.00
_symmetry_space_group_name_H-M 'P 1'
_symmetry_Int_Tables_number 1
loop_
_symmetry_equiv_pos_as_xyz
'x,y,z'
loop_
_atom_site_label
_atom_site_type_symbol
_atom_site_fract_x
_atom_site_fract_y
_atom_site_fract_z
_atom_site_occupancy
U1 U 0.000 0.000 0.000 1
In1 In 0.000 0.000 0.500 1
Ge1 Ge 0.500 0.500 0.208 1
Ge2 Ge 0.500 0.500 0.792 1

=====

# 15
# LiVH2Os, relaxed, DFT PBE
# VASP energy, eV for the cell shown: -24.44
# Symmetry: P4/mmm, No. 123
data_LiVH2Os
_chemical_formula_sum 'Li1 V1 H2 Os1'
_cell_length_a 3.376
_cell_length_b 3.376
_cell_length_c 4.413
_cell_angle_alpha 90.00
_cell_angle_beta 90.00
_cell_angle_gamma 90.00
_symmetry_space_group_name_H-M 'P 1'
_symmetry_Int_Tables_number 1
loop_
_symmetry_equiv_pos_as_xyz
'x,y,z'
loop_
_atom_site_label
_atom_site_type_symbol
_atom_site_fract_x
_atom_site_fract_y
_atom_site_fract_z
_atom_site_occupancy
Li1 Li 0.000 0.000 0.000 1
V1 V 0.500 0.500 0.000 1
H1 H 0.000 0.500 0.500 1
H2 H 0.500 0.000 0.500 1
Os1 Os 0.000 0.000 0.500 1